This record from Alexandria describes a geometry-optimized SbRuPb2 structure. The functional is PBE-GGA.

Cell: 6.510 6.510 12.999 Å, 90.00 90.00 90.00°
Fractional coordinates of all 16 atoms:
Sb 0.000 0.000 0.000
Sb 0.000 0.500 0.250
Sb 0.500 0.000 0.750
Sb 0.500 0.500 0.500
Ru 0.000 0.000 0.500
Ru 0.000 0.500 0.750
Ru 0.500 0.000 0.250
Ru 0.500 0.500 0.000
Pb 0.200 0.250 0.625
Pb 0.250 0.700 0.875
Pb 0.250 0.800 0.375
Pb 0.300 0.250 0.125
Pb 0.700 0.750 0.125
Pb 0.750 0.200 0.375
Pb 0.750 0.300 0.875
Pb 0.800 0.750 0.625

Formation energy (no corrections): 65.8 kJ per mole of atoms
Magnetic moment: 0.00 μB per formula unit